Crystalline PaBr2Cl2 at its relaxed geometry, computed with PBE-GGA.

Total magnetization in μB/cell: 2.00
E in eV per cell: -49.24

Unit cell a=7.843 b=7.843 c=7.843 alpha=115.04 beta=110.81 gamma=102.80
Fractional positions:
1 Br 0.198 0.698 0.500
2 Pa 0.000 0.754 0.754
3 Cl 0.285 0.758 0.042
4 Cl 0.285 0.242 0.527
5 Cl 0.715 0.758 0.473
6 Br 0.802 0.302 0.500
7 Br 0.205 0.205 0.000
8 Cl 0.715 0.242 0.958
9 Pa 0.000 0.246 0.246
10 Br 0.795 0.795 0.000